Record 1
This record from the Alexandria database describes an optimized crystal structure of Sm2Ho8Tl. The functional is PBE-GGA.

Calculated values
excess energy over the best structure of this formula in the dataset: 0.000 eV/atom
V: 30.62 Å³ per atom
energy of formation from the pure elements: -0.3 eV/f.u.
density of states at the Fermi level: 1.365 states/eV per atom
spin magnetization: 0.00 μB/f.u.

abc: 9.3233 9.3233 7.8608
angles: 104.82 104.82 30.74
Positions (direct):
Sm1 0.2224 0.2224 0.1352
Sm2 0.7776 0.7776 0.8648
Ho1 0.0447 0.0447 0.2224
Ho2 0.1343 0.1343 0.6755
Ho3 0.3190 0.3190 0.5907
Ho4 0.4105 0.4105 0.0553
Ho5 0.5895 0.5895 0.9447
Ho6 0.6810 0.6810 0.4093
Ho7 0.8657 0.8657 0.3245
Ho8 0.9553 0.9553 0.7776
Tl1 0.5000 0.5000 0.5000


Record 2
This record from the Alexandria database describes an optimized crystal structure of Mg2PaAg3Se6. The functional is PBE-GGA.

Calculated values
V: 23.08 Å³ per atom
spin magnetization: 0.00 μB/f.u.
formation energy from raw total energies: -9.6 eV/f.u.

abc: 6.9557 6.9557 6.8204
angles: 97.65 97.65 119.52
Positions (direct):
Mg1 0.1741 0.8259 0.0000
Mg2 0.8259 0.1741 0.0000
Pa1 0.5000 0.5000 0.0000
Ag1 0.0000 0.0000 0.5000
Ag2 0.3696 0.6304 0.5000
Ag3 0.6304 0.3696 0.5000
Se1 0.1031 0.4411 0.7607
Se2 0.2120 0.2120 0.2202
Se3 0.4411 0.1031 0.7607
Se4 0.5589 0.8969 0.2393
Se5 0.7880 0.7880 0.7798
Se6 0.8969 0.5589 0.2393